Below is a relaxed Mg2SbMoO6 crystal, with properties calculated at the PBE with a Hubbard U level.

Properties
Space group   P2_1/m, No. 11
Distance to the lowest polymorph of the same formula   0.000 eV per formula unit

Cell: 5.3517 7.8093 5.4478 Å, 90.00 90.64 90.00°
Last column: nearest neighbours and their distance in Å.
Atoms (fractional coordinates):
Mg1 0.0033 0.2500 0.4507  4 O 2.05-2.11
Mg2 0.4839 0.7500 0.0293  4 O 2.01-2.20
Mg3 0.5161 0.2500 0.9707  4 O 2.01-2.20
Mg4 0.9967 0.7500 0.5493  4 O 2.05-2.11
Sb1 0.5000 0.0000 0.5000  6 O 1.98-2.13
Sb2 0.5000 0.5000 0.5000  6 O 1.98-2.13
Mo1 0.0000 0.0000 0.0000  6 O 2.14-2.17
Mo2 0.0000 0.5000 0.0000  6 O 2.14-2.17
O1 0.1301 0.7500 0.9036  2 Mg 2.01-2.05, 2 Mo 2.14
O2 0.1854 0.0698 0.6629  1 Sb 1.99, 1 Mg 2.06, 1 Mo 2.17
O3 0.1854 0.4302 0.6629  1 Sb 1.99, 1 Mg 2.06, 1 Mo 2.17
O4 0.3450 0.0697 0.1845  1 Sb 1.98, 1 Mg 2.05, 1 Mo 2.16
O5 0.3450 0.4303 0.1845  1 Sb 1.98, 1 Mg 2.05, 1 Mo 2.16
O6 0.3647 0.7500 0.4148  2 Mg 2.11-2.20, 2 Sb 2.13
O7 0.6353 0.2500 0.5852  2 Mg 2.11-2.20, 2 Sb 2.13
O8 0.6550 0.5697 0.8155  1 Sb 1.98, 1 Mg 2.05, 1 Mo 2.16
O9 0.6550 0.9303 0.8155  1 Sb 1.98, 1 Mg 2.05, 1 Mo 2.16
O10 0.8146 0.5698 0.3371  1 Sb 1.99, 1 Mg 2.06, 1 Mo 2.17
O11 0.8146 0.9302 0.3371  1 Sb 1.99, 1 Mg 2.06, 1 Mo 2.17
O12 0.8699 0.2500 0.0964  2 Mg 2.01-2.05, 2 Mo 2.14